No. 1
# Sr3Tl3Cd

Sr3Tl3Cd after structural relaxation (PBE, Alexandria via LeMat-Bulk).

abc: 4.8689 6.6977 16.1416
angles: 84.54 81.33 68.69
Fractional positions:
Tl 0.1360 0.2709 0.4570
Tl 0.1153 0.8459 0.9236
Tl 0.8640 0.7291 0.5430
Tl 0.0220 0.1896 0.7664
Tl 0.8847 0.1541 0.0764
Tl 0.9780 0.8104 0.2336
Sr 0.3950 0.2881 0.9218
Sr 0.6050 0.7119 0.0782
Sr 0.7386 0.7524 0.7703
Sr 0.5313 0.3236 0.6139
Sr 0.2614 0.2476 0.2297
Sr 0.4687 0.6764 0.3861
Cd 0.7637 0.0830 0.3895
Cd 0.2363 0.9170 0.6105

Computed properties:
**ΔE_f**: -0.363 eV per atom
**Total energy**: -31.197 eV per cell

***

No. 2
# Pm12AlCd3

Pm12AlCd3 after structural relaxation (PBE, Alexandria via LeMat-Bulk).

abc: 4.9324 4.9324 19.6793
angles: 90.00 90.00 90.00
Fractional positions:
Cd 0.0000 0.0000 0.5000
Cd 0.0000 0.0000 0.2485
Cd 0.0000 0.0000 0.7515
Pm 0.0000 0.5000 0.1206
Pm 0.5000 0.0000 0.1206
Pm 0.0000 0.5000 0.6259
Pm 0.5000 0.5000 0.7520
Pm 0.5000 0.5000 0.5000
Pm 0.0000 0.5000 0.8794
Pm 0.5000 0.0000 0.6259
Pm 0.0000 0.5000 0.3741
Pm 0.5000 0.0000 0.3741
Pm 0.5000 0.5000 0.0000
Pm 0.5000 0.5000 0.2480
Pm 0.5000 0.0000 0.8794
Al 0.0000 0.0000 0.0000

Computed properties:
**ΔE_f**: -0.126 eV per atom
**Total energy**: -65.514 eV per cell

***

Question: Which of these has the lowest ΔE_f?
Answer: Sr3Tl3Cd

***

Question: total energy of number 1 (Sr3Tl3Cd)?
Answer: -31.197 eV per cell

***

Question: The highest ΔE_f belongs to which entry?
Answer: Pm12AlCd3

***

Question: Which value of total energy does entry 2 give?
Answer: -65.514 eV per cell